[1]
Entry from Alexandria: a geometry-optimized NaPrHg2 structure (GGA-PBE).

Computed properties:
- Symmetry: No. 166
- ΔE to the lowest computed polymorph: 64 kJ/mol of formula units
- DFT formation energy: -0.874 eV/f.u.

Cell: 3.785 3.785 9.796 Å, 78.86 78.86 60.00°
Positions (direct):
Pr (0.500, 0.500, 0.500)
Na (0.000, 0.000, 0.000)
Hg (0.251, 0.251, 0.247)
Hg (0.749, 0.749, 0.753)

=====

[2]
Entry from Alexandria: a geometry-optimized NaPrHg4 structure (GGA-PBE).

Computed properties:
- Symmetry: No. 216
- ΔE to the lowest computed polymorph: 78 kJ/mol of formula units
- DFT formation energy: -1.083 eV/f.u.

Cell: 6.042 6.042 6.042 Å, 60.00 60.00 60.00°
Positions (direct):
Pr (0.000, 0.000, 0.000)
Na (0.250, 0.250, 0.250)
Hg (0.625, 0.625, 0.125)
Hg (0.625, 0.125, 0.625)
Hg (0.625, 0.625, 0.625)
Hg (0.125, 0.625, 0.625)

=====

[3]
Entry from Alexandria: a geometry-optimized NaPrSiHg structure (GGA-PBE).

Computed properties:
- E_form (uncorrected): -0.28 eV/atom
- Symmetry: No. 216

Cell: 5.198 5.198 5.198 Å, 60.00 60.00 60.00°
Positions (direct):
Pr (0.250, 0.250, 0.250)
Na (0.750, 0.750, 0.750)
Si (0.000, 0.000, 0.000)
Hg (0.500, 0.500, 0.500)